3
Lattice="4.212 0.000 0.000 2.106 3.648 0.000 2.106 1.216 3.439" Properties=species:S:1:pos:R:3 comment="CaBeIr | Alexandria via LeMat-Bulk | PBE | relaxed" e_form_ev_per_atom=0.096 spacegroup="F-43m, No. 216" pbc="T T T"
Be 6.318 3.648 2.579
Ca 0.000 0.000 0.000
Ir 4.212 2.432 1.720



4
Lattice="5.205 0.000 -0.001 2.152 4.739 0.001 -2.944 -3.510 2.470" Properties=species:S:1:pos:R:3 comment="CaBeIr2 | Alexandria via LeMat-Bulk | PBE | relaxed" e_form_ev_per_atom=-0.111 spacegroup="Immm, No. 71" pbc="T T T"
Be 2.970 -0.570 1.235
Ca 1.444 1.799 1.236
Ir 7.052 4.543 0.000
Ir 3.984 2.566 0.000